(A)
## Si2Cl (PBE)

Data for a geometry-optimized Si2Cl structure.

```
Si2Cl
1.0
-5.469 2.224 -0.683
-1.514 -3.309 1.352
2.551 1.313 6.071
Si Cl
4 2
direct
0.938 0.000 0.646
0.062 0.000 0.354
0.938 0.500 0.146
0.062 0.500 0.854
0.500 0.000 0.500
0.500 0.500 0.000
```

Output
V ... 143 Å³/cell
DOS(E_F) ... 2.11 states/eV/cell
Symmetry ... C2/m

---

(B)
## Si2Cl (PBE)

Data for a geometry-optimized Si2Cl structure.

```
Si2Cl
1.0
1.947 7.799 -0.214
-1.947 7.799 -0.214
0.000 2.692 6.144
Si Cl
4 2
direct
0.281 0.281 0.898
0.719 0.719 0.102
0.245 0.245 0.588
0.755 0.755 0.412
0.577 0.577 0.175
0.423 0.423 0.825
```

Output
V ... 189 Å³/cell
Symmetry ... C2/m

---

(B) has the most favorable energy; the next structure is 140 meV/atom above.

---

(A)
## Si2Cl (PBE)

Data for a geometry-optimized Si2Cl structure.

```
Si2Cl
1.0
3.881 0.000 0.000
-1.940 3.361 0.000
0.000 0.000 4.864
Cl Si
1 2
direct
0.000 0.000 0.000
0.667 0.333 0.566
0.333 0.667 0.434
```

Output
V ... 63 Å³/cell
DOS(E_F) ... 1.99 states/eV/cell
Symmetry ... P-3m1

---

(B)
## Si2Cl (PBE)

Data for a geometry-optimized Si2Cl structure.

```
Si2Cl
1.0
6.484 0.000 0.000
0.000 6.484 0.000
0.000 0.000 6.484
Si Cl
8 4
direct
0.611 0.611 0.389
0.389 0.389 0.611
0.111 0.889 0.611
0.889 0.111 0.389
0.389 0.111 0.111
0.611 0.889 0.889
0.889 0.389 0.889
0.111 0.611 0.111
0.000 0.000 0.000
0.500 0.500 0.000
0.500 0.000 0.500
0.000 0.500 0.500
```

Output
V ... 273 Å³/cell
DOS(E_F) ... 5.88 states/eV/cell
Symmetry ... Pa-3

---

(C)
## Si2Cl (PBE)

Data for a geometry-optimized Si2Cl structure.

```
Si2Cl
1.0
3.449 0.000 0.000
0.000 3.451 0.000
-3.391 0.000 22.336
Si Cl
8 4
direct
0.051 0.000 0.552
0.949 0.000 0.448
0.051 0.500 0.052
0.949 0.500 0.948
0.581 0.000 0.082
0.419 0.000 0.918
0.581 0.500 0.582
0.419 0.500 0.418
0.328 0.000 0.825
0.672 0.000 0.175
0.328 0.500 0.325
0.672 0.500 0.675
```

Output
V ... 266 Å³/cell
DOS(E_F) ... 2.19 states/eV/cell
Symmetry ... C2/m

---

(C) has the most favorable energy; the next structure is 453 meV/atom above.

---

(A)
## Si2Cl (PBE)

Data for a geometry-optimized Si2Cl structure.

```
Si2Cl
1.0
9.957 0.000 -0.001
0.000 4.699 0.000
-0.190 0.000 5.817
Si Cl
8 4
direct
0.926 0.000 0.313
0.074 0.000 0.687
0.926 0.500 0.813
0.074 0.500 0.187
0.864 0.000 0.903
0.136 0.000 0.097
0.864 0.500 0.403
0.136 0.500 0.597
0.333 0.000 0.233
0.667 0.000 0.767
0.333 0.500 0.733
0.667 0.500 0.267
```

Output
V ... 272 Å³/cell
DOS(E_F) ... 1.02 states/eV/cell
Symmetry ... C2/m

---

(B)
## Si2Cl (PBE)

Data for a geometry-optimized Si2Cl structure.

```
Si2Cl
1.0
-3.425 -2.313 1.662
0.255 -1.721 4.101
-2.459 1.718 3.294
Cl Si
1 2
direct
0.000 0.000 0.000
0.750 0.750 0.750
0.250 0.250 0.250
```

Output
V ... 63 Å³/cell
DOS(E_F) ... 1.23 states/eV/cell
Symmetry ... Fm-3m

---

(A) has the most favorable energy; the next structure is 1406 meV/atom above.

---

(A)
## Si2Cl (PBE)

Data for a geometry-optimized Si2Cl structure.

```
Si2Cl
1.0
1.887 5.267 -0.196
-1.887 5.267 -0.196
0.000 0.124 7.576
Si Cl
4 2
direct
0.170 0.170 0.972
0.425 0.425 0.868
0.575 0.575 0.132
0.830 0.830 0.028
0.860 0.860 0.306
0.140 0.140 0.694
```

Output
V ... 151 Å³/cell
DOS(E_F) ... 0.63 states/eV/cell
Symmetry ... C2/m

---

(B)
## Si2Cl (PBE)

Data for a geometry-optimized Si2Cl structure.

```
Si2Cl
1.0
2.591 -4.488 0.000
2.591 4.488 0.000
0.000 0.000 4.989
Si Cl
4 2
direct
0.000 0.000 0.000
0.000 0.000 0.500
0.333 0.667 0.750
0.667 0.333 0.250
0.333 0.667 0.250
0.667 0.333 0.750
```

Output
V ... 116 Å³/cell
DOS(E_F) ... 2.69 states/eV/cell
Symmetry ... P6_3/mmc

---

(A) has the most favorable energy; the next structure is 663 meV/atom above.

---

(A)
## Si2Cl3 (PBE)

Data for a geometry-optimized Si2Cl3 structure.

```
Si2Cl3
1.0
3.783 9.098 6.073
-3.195 8.448 2.253
2.666 -0.029 7.524
Si Cl
4 6
direct
0.568 0.524 0.556
0.352 0.556 0.524
0.726 0.682 0.898
0.694 0.898 0.682
0.635 0.669 0.358
0.338 0.358 0.669
0.581 0.615 0.912
0.892 0.912 0.615
0.107 0.893 0.893
0.357 0.143 0.143
```

Output
V ... 378 Å³/cell
DOS(E_F) ... 2.37 states/eV/cell
Symmetry ... Fdd2

---

(B)
## Si2Cl3 (PBE)

Data for a geometry-optimized Si2Cl3 structure.

```
Si2Cl3
1.0
1.468 8.782 7.395
-1.680 9.615 6.220
-1.346 7.363 8.828
Si Cl
2 3
direct
0.395 0.395 0.395
0.605 0.605 0.605
0.000 0.000 0.000
0.778 0.778 0.778
0.222 0.222 0.222
```

Output
V ... 118 Å³/cell
DOS(E_F) ... 2.75 states/eV/cell
Symmetry ... R-3m

---

(A) has the most favorable energy; the next structure is 311 meV/atom above.

---

(A)
## SiCl3 (PBE)

Data for a geometry-optimized SiCl3 structure.

```
SiCl3
1.0
0.024 -0.688 4.903
2.393 -3.732 -2.204
2.253 4.274 -1.080
Cl Si
3 1
direct
0.000 0.000 0.000
0.500 0.000 0.500
0.500 0.500 0.000
0.000 0.500 0.500
```

Output
V ... 93 Å³/cell
DOS(E_F) ... 3.34 states/eV/cell
Symmetry ... Im-3m

---

(B)
## SiCl3 (PBE)

Data for a geometry-optimized SiCl3 structure.

```
SiCl3
1.0
-8.091 -6.370 2.527
-5.292 -8.560 3.338
-6.457 -6.113 5.776
Si Cl
1 3
direct
0.500 0.500 0.500
0.000 0.000 0.000
0.882 0.882 0.882
0.118 0.118 0.118
```

Output
V ... 120 Å³/cell
DOS(E_F) ... 4.85 states/eV/cell
Symmetry ... R-3m

---

(C)
## SiCl3 (PBE)

Data for a geometry-optimized SiCl3 structure.

```
SiCl3
1.0
6.140 0.000 0.000
0.000 8.260 0.000
0.000 0.000 12.064
Si Cl
4 12
direct
0.437 0.168 0.750
0.937 0.332 0.250
0.063 0.668 0.750
0.563 0.832 0.250
0.227 0.388 0.750
0.727 0.112 0.250
0.273 0.888 0.750
0.773 0.612 0.250
0.635 0.179 0.888
0.135 0.321 0.112
0.865 0.679 0.612
0.365 0.821 0.388
0.365 0.821 0.112
0.865 0.679 0.888
0.135 0.321 0.388
0.635 0.179 0.612
```

Output
V ... 612 Å³/cell
DOS(E_F) ... 6.66 states/eV/cell
Symmetry ... Pnma

---

(C) has the most favorable energy; the next structure is 757 meV/atom above.

---

(A)
## SiCl3 (PBE)

Data for a geometry-optimized SiCl3 structure.

```
SiCl3
1.0
4.126 0.000 0.000
0.000 4.127 0.000
0.000 0.000 6.264
Cl Si
3 1
direct
0.000 0.000 0.012
0.500 0.000 0.438
0.500 0.500 0.012
0.000 0.500 0.205
```

Output
V ... 107 Å³/cell
DOS(E_F) ... 2.44 states/eV/cell
Symmetry ... P4mm

---

(B)
## SiCl3 (PBE)

Data for a geometry-optimized SiCl3 structure.

```
SiCl3
1.0
-2.528 6.622 -2.119
-4.631 0.078 5.769
0.179 5.740 4.810
Si Cl
2 6
direct
0.500 0.500 0.000
0.250 0.750 0.500
0.413 0.125 0.250
0.337 0.625 0.250
0.375 0.587 0.750
0.875 0.663 0.750
0.000 0.000 0.000
0.750 0.250 0.500
```

Output
V ... 293 Å³/cell
DOS(E_F) ... 7.64 states/eV/cell
Symmetry ... I-42d

---

(C)
## SiCl3 (PBE)

Data for a geometry-optimized SiCl3 structure.

```
SiCl3
1.0
4.371 0.000 0.000
0.000 4.371 0.000
0.000 0.000 4.371
Cl Si
3 1
direct
0.000 0.500 0.500
0.500 0.000 0.500
0.500 0.500 0.000
0.000 0.000 0.000
```

Output
V ... 84 Å³/cell
DOS(E_F) ... 3.98 states/eV/cell
Symmetry ... Pm-3m

---

(B) has the most favorable energy; the next structure is 32 meV/atom above.

---

(A)
## SiCl3 (PBE)

Data for a geometry-optimized SiCl3 structure.

```
SiCl3
1.0
-6.981 -2.777 3.626
5.161 -0.532 6.532
-1.009 4.002 1.123
Si Cl
2 6
direct
0.452 0.548 0.250
0.548 0.452 0.750
0.974 0.026 0.750
0.026 0.974 0.250
0.797 0.515 0.750
0.203 0.485 0.250
0.485 0.203 0.750
0.515 0.797 0.250
```

Output
V ... 294 Å³/cell
DOS(E_F) ... 2.51 states/eV/cell
Symmetry ... Cmcm

---

(B)
## SiCl3 (PBE)

Data for a geometry-optimized SiCl3 structure.

```
SiCl3
1.0
-0.544 -4.640 -7.997
3.048 -3.985 -7.785
1.604 -6.848 -6.025
Cl Si
3 1
direct
0.721 0.721 0.721
0.500 0.500 0.500
0.279 0.279 0.279
0.000 0.000 0.000
```

Output
V ... 104 Å³/cell
DOS(E_F) ... 4.92 states/eV/cell
Symmetry ... R-3m

---

(C)
## SiCl3 (PBE)

Data for a geometry-optimized SiCl3 structure.

```
SiCl3
1.0
0.000 3.430 3.430
3.430 0.000 3.430
3.430 3.430 0.000
Si Cl
1 3
direct
0.000 0.000 0.000
0.250 0.250 0.250
0.750 0.750 0.750
0.500 0.500 0.500
```

Output
V ... 81 Å³/cell
DOS(E_F) ... 5.17 states/eV/cell
Symmetry ... Fm-3m

---

(A) has the most favorable energy; the next structure is 600 meV/atom above.